1.
Density functional theory data (PBE-GGA) for K2ZrMnSe4 after structural relaxation.

Results
**Magnetization**: 5.0 μB/cell
**Symmetry**: No. 82
**Final energy**: -5.29 eV per atom

The structure in POSCAR format:
```
K2ZrMnSe4
1.0
-2.9085 -5.6224 3.4922
3.6009 -1.2019 -6.1527
5.6618 3.3886 2.9544
Se Zr K Mn
4 1 2 1
direct
0.5803 0.3637 0.4522 Se
0.9116 0.5478 0.1281 Se
0.4197 0.8719 0.7835 Se
0.0884 0.2165 0.6363 Se
0.5000 0.2500 0.7500 Zr
0.5000 0.7500 0.2500 K
0.0000 0.0000 0.0000 K
0.0000 0.5000 0.5000 Mn
```

=====

2.
Density functional theory data (PBE-GGA) for K2CuF4 after structural relaxation.

Results
**Magnetization**: 1.0 μB/cell
**E above lowest polymorph**: 56 meV per atom
**Symmetry**: No. 65

The structure in POSCAR format:
```
K2CuF4
1.0
6.7850 -0.1663 0.0000
-5.3418 4.1868 0.0000
0.0000 0.0000 3.9747
K F Cu
2 4 1
direct
0.3560 0.6440 0.5000 K
0.6440 0.3560 0.5000 K
0.8454 0.1546 0.0000 F
0.0000 0.0000 0.5000 F
0.1546 0.8454 0.0000 F
0.5000 0.5000 0.0000 F
0.0000 0.0000 0.0000 Cu
```

=====

3.
Density functional theory data (PBE-GGA) for Zr2TaTc after structural relaxation.

Results
**Magnetization**: 0.0 μB/cell
**Calculated formation energy**: 106 meV per atom
**E above lowest polymorph**: 297 meV per atom
**Symmetry**: No. 166

The structure in POSCAR format:
```
Zr2TaTc
1.0
-7.8218 -4.6633 -1.7411
-5.9691 -7.0452 -0.8315
-7.4815 -5.3133 1.3240
Ta Zr Tc
1 2 1
direct
0.2500 0.2500 0.2500 Ta
0.0066 0.0066 0.0066 Zr
0.4934 0.4934 0.4934 Zr
0.7500 0.7500 0.7500 Tc
```

=====

4.
Density functional theory data (PBE-GGA) for Hf3HgC after structural relaxation.

Results
**Magnetization**: 0.0 μB/cell
**Calculated formation energy**: -455 meV per atom
**E above lowest polymorph**: 54 meV per atom
**Symmetry**: No. 65

The structure in POSCAR format:
```
Hf3HgC
1.0
3.3268 -0.0005 -0.0007
0.0011 7.7054 -0.1061
0.0020 2.5792 7.2616
Hg Hf C
2 6 2
direct
0.3632 0.6941 0.7464 Hg
0.8632 0.1942 0.2464 Hg
0.8633 0.7641 0.4082 Hf
0.8632 0.0323 0.6765 Hf
0.3632 0.9855 0.0378 Hf
0.8633 0.6242 0.0846 Hf
0.3632 0.4028 0.4551 Hf
0.8632 0.3559 0.8165 Hf
0.3632 0.1941 0.7465 C
0.3633 0.6941 0.2464 C
```

=====

5.
Density functional theory data (PBE-GGA) for Na2PuGaSb2 after structural relaxation.

Results
**Magnetization**: 11.6 μB/cell
**Symmetry**: No. 26
**Final energy**: -5.08 eV per atom

The structure in POSCAR format:
```
Na2PuGaSb2
1.0
4.8638 0.0000 0.0000
0.0000 6.9104 0.0000
0.0000 0.0000 9.2985
Sb Na Pu Ga
4 4 2 2
direct
0.5000 0.7703 0.6537 Sb
0.5000 0.2703 0.3463 Sb
0.0000 0.7599 0.1885 Sb
0.0000 0.2599 0.8115 Sb
0.0000 0.2960 0.1485 Na
0.5000 0.0153 0.0374 Na
0.0000 0.7960 0.8515 Na
0.5000 0.5153 0.9626 Na
0.0000 0.0056 0.4840 Pu
0.0000 0.5056 0.5160 Pu
0.5000 0.6984 0.3408 Ga
0.5000 0.1984 0.6592 Ga
```

=====

6.
Density functional theory data (PBE-GGA) for ScRh2Pb after structural relaxation.

Results
**Magnetization**: 0.0 μB/cell
**Calculated formation energy**: -513 meV per atom
**Symmetry**: No. 119

The structure in POSCAR format:
```
ScRh2Pb
1.0
-4.0230 0.4258 -3.4789
-0.5886 -0.1277 -5.3016
-1.2248 -3.5259 -1.2372
Rh Pb Sc
2 1 1
direct
0.0000 0.0000 0.9999 Rh
0.2497 0.2497 0.2503 Rh
0.7501 0.7501 0.7499 Pb
0.5002 0.5002 0.4999 Sc
```

=====

7.
Density functional theory data (PBE-GGA) for Na2HF2 after structural relaxation.

Results
**Magnetization**: 0.0 μB/cell
**Symmetry**: No. 36
**Final energy**: -3.53 eV per atom

The structure in POSCAR format:
```
Na2HF2
1.0
3.2511 0.0000 0.0000
0.0000 5.8857 0.0000
-1.6255 0.0000 6.8045
H Na F
2 4 4
direct
0.3374 0.4912 0.6748 H
0.6626 0.9912 0.3252 H
0.9610 0.7155 0.9221 Na
0.0390 0.2155 0.0779 Na
0.8139 0.1296 0.6279 Na
0.1861 0.6296 0.3721 Na
0.8183 0.5158 0.6366 F
0.5644 0.5134 0.1289 F
0.1817 0.0158 0.3634 F
0.4356 0.0134 0.8711 F
```

=====

8.
Density functional theory data (PBE-GGA) for Sc3Pb after structural relaxation.

Results
**Magnetization**: 0.0 μB/cell
**Calculated formation energy**: -229 meV per atom
**Symmetry**: No. 47

The structure in POSCAR format:
```
Sc3Pb
1.0
-0.9894 4.2170 0.3328
-1.1813 -0.5326 3.2368
4.6511 0.6525 5.5606
Pb Sc
1 3
direct
0.0000 0.0000 0.0000 Pb
0.5000 0.7551 0.7436 Sc
0.0000 0.5000 0.5000 Sc
0.5000 0.2449 0.2564 Sc
```

=====

9.
Density functional theory data (PBE-GGA) for RbBaSr2Cu after structural relaxation.

Results
**Magnetization**: 0.0 μB/cell
**Calculated formation energy**: 46 meV per atom
**E above lowest polymorph**: 0 meV per atom
**Symmetry**: No. 123

The structure in POSCAR format:
```
RbBaSr2Cu
1.0
6.3187 0.0000 0.0000
0.0000 6.3187 0.0000
0.0000 0.0000 6.4975
Cu Sr Ba Rb
1 2 1 1
direct
0.0000 0.0000 0.0000 Cu
0.0000 0.5000 0.0000 Sr
0.5000 0.0000 0.0000 Sr
0.0000 0.0000 0.5000 Ba
0.5000 0.5000 0.5000 Rb
```

=====

10.
Density functional theory data (PBE-GGA) for Nd2GaSn2Rh5 after structural relaxation.

Results
**Magnetization**: 0.0 μB/cell
**Calculated formation energy**: -526 meV per atom
**Symmetry**: No. 127

The structure in POSCAR format:
```
Nd2GaSn2Rh5
1.0
-0.8986 2.4946 1.9262
1.9104 -6.0582 8.7371
10.2110 3.5184 0.2069
Nd Rh Ga Sn
4 10 2 4
direct
0.0000 0.6668 0.1668 Nd
0.0000 0.1668 0.3332 Nd
0.0000 0.3332 0.8332 Nd
0.0000 0.8332 0.6668 Nd
0.5000 0.8089 0.9607 Rh
0.5000 0.1911 0.0393 Rh
0.5000 0.9607 0.1911 Rh
0.5000 0.5393 0.6911 Rh
0.5000 0.6911 0.4607 Rh
0.5000 0.5000 0.0000 Rh
0.5000 0.3089 0.5393 Rh
0.5000 0.4607 0.3089 Rh
0.5000 0.0000 0.5000 Rh
0.5000 0.0393 0.8089 Rh
0.0000 0.5000 0.5000 Ga
0.0000 0.0000 0.0000 Ga
0.0000 0.8631 0.3631 Sn
0.0000 0.1369 0.6369 Sn
0.0000 0.6369 0.8631 Sn
0.0000 0.3631 0.1369 Sn
```

=====

11.
Density functional theory data (PBE-GGA) for CuAsP after structural relaxation.

Results
**Magnetization**: 0.0 μB/cell
**Calculated formation energy**: 277 meV per atom
**E above lowest polymorph**: 240 meV per atom
**Symmetry**: No. 216

The structure in POSCAR format:
```
CuAsP
1.0
-0.3443 2.8997 2.9773
-3.0861 2.8001 -0.1634
-3.1354 -0.1900 2.7431
As P Cu
1 1 1
direct
0.5000 0.5000 0.5000 As
0.0000 0.0000 0.0000 P
0.7500 0.7500 0.7500 Cu
```

=====

12.
Density functional theory data (PBE-GGA) for Li3Cd3Rh2 after structural relaxation.

Results
**Magnetization**: 0.0 μB/cell
**Calculated formation energy**: -242 meV per atom
**Symmetry**: No. 47

The structure in POSCAR format:
```
Li3Cd3Rh2
1.0
-1.3106 -1.9995 3.7895
3.0785 -3.2295 -0.6394
4.3390 3.4758 3.3346
Li Cd Rh
3 3 2
direct
0.5000 0.5000 0.7561 Li
0.5000 0.0000 0.0000 Li
0.5000 0.5000 0.2439 Li
0.5000 0.0000 0.5000 Cd
0.0000 0.5000 0.0000 Cd
0.0000 0.5000 0.5000 Cd
0.0000 0.0000 0.7588 Rh
0.0000 0.0000 0.2412 Rh
```

=====

13.
Density functional theory data (PBE-GGA) for Nd2HfUAs4 after structural relaxation.

Results
**Magnetization**: 2.5 μB/cell
**Calculated formation energy**: -1172 meV per atom
**Symmetry**: No. 10

The structure in POSCAR format:
```
Nd2HfUAs4
1.0
-1.6777 1.9826 -3.1521
-3.1120 -6.0035 -2.1198
-4.3822 3.4302 4.4899
As Hf U Nd
4 1 1 2
direct
0.0000 0.2479 0.7689 As
0.5000 0.2350 0.2252 As
0.5000 0.7650 0.7748 As
0.0000 0.7521 0.2311 As
0.0000 0.0000 0.0000 Hf
0.5000 0.5000 0.0000 U
0.0000 0.5000 0.5000 Nd
0.5000 0.0000 0.5000 Nd
```

=====

14.
Density functional theory data (PBE-GGA) for CoWC2 after structural relaxation.

Results
**Magnetization**: 0.0 μB/cell
**Calculated formation energy**: 1015 meV per atom
**E above lowest polymorph**: 429 meV per atom
**Symmetry**: No. 225

The structure in POSCAR format:
```
CoWC2
1.0
1.4650 -2.2889 2.5262
-2.2196 -2.0187 2.1829
-0.2253 -3.6733 -0.4727
C Co W
2 1 1
direct
0.7500 0.7500 0.7500 C
0.2500 0.2500 0.2500 C
0.0000 0.0000 0.0000 Co
0.5000 0.5000 0.5000 W
```

=====

15.
Density functional theory data (PBE-GGA) for HfZr2Tl2 after structural relaxation.

Results
**Magnetization**: 0.0 μB/cell
**Calculated formation energy**: 47 meV per atom
**E above lowest polymorph**: 0 meV per atom
**Symmetry**: No. 11

The structure in POSCAR format:
```
HfZr2Tl2
1.0
3.2436 0.0000 0.0000
0.0000 6.2027 0.8795
0.0000 -0.3167 11.8972
Tl Zr Hf
4 4 2
direct
0.7500 0.9634 0.1886 Tl
0.2500 0.0366 0.8114 Tl
0.2500 0.6614 0.4041 Tl
0.7500 0.3386 0.5959 Tl
0.2500 0.1540 0.3960 Zr
0.7500 0.4541 0.2142 Zr
0.2500 0.5459 0.7858 Zr
0.7500 0.8460 0.6040 Zr
0.7500 0.7086 0.9822 Hf
0.2500 0.2914 0.0178 Hf
```

=====

16.
Density functional theory data (PBE-GGA) for Ca2YRe after structural relaxation.

Results
**Magnetization**: 0.0 μB/cell
**Calculated formation energy**: 610 meV per atom
**E above lowest polymorph**: 224 meV per atom
**Symmetry**: No. 139

The structure in POSCAR format:
```
Ca2YRe
1.0
5.9013 -0.0029 0.0000
2.3950 5.3935 0.0000
-4.1481 -2.6953 3.2177
Y Ca Re
1 2 1
direct
0.7500 0.2500 0.5000 Y
0.5000 0.5000 0.0000 Ca
0.0000 0.0000 0.0000 Ca
0.2500 0.7500 0.5000 Re
```

=====

17.
Density functional theory data (PBE-GGA) for CuTe2As after structural relaxation.

Results
**Magnetization**: 0.0 μB/cell
**Symmetry**: No. 47
**Final energy**: -3.37 eV per atom

The structure in POSCAR format:
```
CuTe2As
1.0
3.8636 0.0000 0.0000
0.0000 7.5594 0.0000
0.0000 0.0000 3.8690
As Te Cu
1 2 1
direct
0.5000 0.0000 0.5000 As
0.5000 0.5000 0.0000 Te
0.0000 0.0000 0.0000 Te
0.0000 0.5000 0.5000 Cu
```

=====

18.
Density functional theory data (PBE-GGA) for YBe3Tl after structural relaxation.

Results
**Magnetization**: 0.0 μB/cell
**Calculated formation energy**: 827 meV per atom
**Symmetry**: No. 221

The structure in POSCAR format:
```
YBe3Tl
1.0
4.5400 0.0000 0.0000
0.0000 4.5400 0.0000
0.0000 0.0000 4.5400
Be Tl Y
3 1 1
direct
0.0000 0.0000 0.5000 Be
0.5000 0.0000 0.0000 Be
0.0000 0.5000 0.0000 Be
0.0000 0.0000 0.0000 Tl
0.5000 0.5000 0.5000 Y
```

=====

19.
Density functional theory data (PBE-GGA) for K2PaTe4Pb after structural relaxation.

Results
**Magnetization**: 1.0 μB/cell
**Symmetry**: No. 10
**Final energy**: -4.38 eV per atom

The structure in POSCAR format:
```
K2PaTe4Pb
1.0
-0.7385 -4.1699 1.8430
2.7101 -3.4929 -6.8170
6.7139 1.1060 5.1929
Pb Te Pa K
1 4 1 2
direct
0.0000 0.0000 0.0000 Pb
0.5000 0.7435 0.7868 Te
0.0000 0.7232 0.2091 Te
0.0000 0.2768 0.7909 Te
0.5000 0.2565 0.2132 Te
0.5000 0.5000 0.0000 Pa
0.5000 0.0000 0.5000 K
0.0000 0.5000 0.5000 K
```

=====

20.
Density functional theory data (PBE-GGA) for BaTePb3 after structural relaxation.

Results
**Magnetization**: 0.0 μB/cell
**E above lowest polymorph**: 0 meV per atom
**Symmetry**: No. 221

The structure in POSCAR format:
```
BaTePb3
1.0
-2.3228 -4.3759 3.4563
4.5995 -3.6203 -1.4924
3.1526 2.0578 4.7240
Pb Te Ba
3 1 1
direct
0.5000 0.0000 0.0000 Pb
0.0000 0.5000 0.0000 Pb
0.0000 0.0000 0.5000 Pb
0.0000 0.0000 0.0000 Te
0.5000 0.5000 0.5000 Ba
```